# CsNa2UBr6 | Alexandria | PBE | relaxed
# Energy relative to the elements, uncorrected (eV/atom): -1.461
# SG: C2/c (15)
data_CsNa2UBr6
_symmetry_space_group_name_H-M 'P 1'
_symmetry_Int_Tables_number 1
_cell_length_a 9.395
_cell_length_b 9.395
_cell_length_c 9.780
_cell_angle_alpha 109.47
_cell_angle_beta 109.47
_cell_angle_gamma 71.94
loop_
_symmetry_equiv_pos_as_xyz
'x,y,z'
loop_
_atom_site_label
_atom_site_fract_x
_atom_site_fract_y
_atom_site_fract_z
Cs1 0.212 0.788 0.750
Cs2 0.788 0.212 0.250
Na1 0.262 0.273 0.241
Na2 0.273 0.262 0.741
Na3 0.727 0.738 0.259
Na4 0.738 0.727 0.759
U1 0.266 0.734 0.250
U2 0.734 0.266 0.750
Br1 0.006 0.194 0.983
Br2 0.074 0.599 0.339
Br3 0.194 0.006 0.483
Br4 0.356 0.418 0.067
Br5 0.401 0.926 0.161
Br6 0.418 0.356 0.567
Br7 0.582 0.644 0.433
Br8 0.599 0.074 0.839
Br9 0.644 0.582 0.933
Br10 0.806 0.994 0.517
Br11 0.926 0.401 0.661
Br12 0.994 0.806 0.017


# CsNaUBr6 | Alexandria | PBE | relaxed
# Energy relative to the elements, uncorrected (eV/atom): -1.516
# DOS(E_F) (states/eV/cell): 9.10
# SG: P-31c (163)
data_CsNaUBr6
_symmetry_space_group_name_H-M 'P 1'
_symmetry_Int_Tables_number 1
_cell_length_a 7.606
_cell_length_b 7.606
_cell_length_c 15.990
_cell_angle_alpha 90.00
_cell_angle_beta 90.00
_cell_angle_gamma 120.00
loop_
_symmetry_equiv_pos_as_xyz
'x,y,z'
loop_
_atom_site_label
_atom_site_fract_x
_atom_site_fract_y
_atom_site_fract_z
Cs1 0.000 0.000 0.000
Cs2 0.000 0.000 0.500
Na1 0.333 0.667 0.250
Na2 0.667 0.333 0.750
U1 0.333 0.667 0.750
U2 0.667 0.333 0.250
Br1 0.022 0.384 0.647
Br2 0.022 0.639 0.853
Br3 0.361 0.384 0.853
Br4 0.361 0.978 0.647
Br5 0.384 0.022 0.147
Br6 0.384 0.361 0.353
Br7 0.616 0.639 0.647
Br8 0.616 0.978 0.853
Br9 0.639 0.022 0.353
Br10 0.639 0.616 0.147
Br11 0.978 0.361 0.147
Br12 0.978 0.616 0.353


# CsNa2UBr8 | Alexandria | PBE | relaxed
# Energy relative to the elements, uncorrected (eV/atom): -1.413
# SG: P-1 (2)
data_CsNa2UBr8
_symmetry_space_group_name_H-M 'P 1'
_symmetry_Int_Tables_number 1
_cell_length_a 6.379
_cell_length_b 8.108
_cell_length_c 10.804
_cell_angle_alpha 70.54
_cell_angle_beta 78.97
_cell_angle_gamma 88.05
loop_
_symmetry_equiv_pos_as_xyz
'x,y,z'
loop_
_atom_site_label
_atom_site_fract_x
_atom_site_fract_y
_atom_site_fract_z
Cs1 0.000 0.000 0.000
Na1 0.434 0.478 0.179
Na2 0.566 0.522 0.821
U1 0.000 0.500 0.500
Br1 0.134 0.494 0.727
Br2 0.264 0.244 0.469
Br3 0.295 0.745 0.341
Br4 0.481 0.225 0.053
Br5 0.519 0.775 0.947
Br6 0.705 0.255 0.659
Br7 0.736 0.756 0.531
Br8 0.866 0.506 0.273


# CsNaV2Br8 | Alexandria | PBE | relaxed
# Energy relative to the elements, uncorrected (eV/atom): -1.102
# SG: R-3 (148)
data_CsNaV2Br8
_symmetry_space_group_name_H-M 'P 1'
_symmetry_Int_Tables_number 1
_cell_length_a 11.070
_cell_length_b 11.070
_cell_length_c 11.070
_cell_angle_alpha 37.40
_cell_angle_beta 37.40
_cell_angle_gamma 37.40
loop_
_symmetry_equiv_pos_as_xyz
'x,y,z'
loop_
_atom_site_label
_atom_site_fract_x
_atom_site_fract_y
_atom_site_fract_z
Cs1 0.000 0.000 0.000
Na1 0.500 0.500 0.500
V1 0.249 0.249 0.249
V2 0.751 0.751 0.751
Br1 0.090 0.446 0.786
Br2 0.214 0.910 0.554
Br3 0.326 0.326 0.326
Br4 0.446 0.786 0.090
Br5 0.554 0.214 0.910
Br6 0.674 0.674 0.674
Br7 0.786 0.090 0.446
Br8 0.910 0.554 0.214


# CsNa2VBr6 | Alexandria | PBE | relaxed
# Energy relative to the elements, uncorrected (eV/atom): -1.278
# DOS(E_F) (states/eV/cell): 10.27
# SG: R3 (146)
data_CsNa2VBr6
_symmetry_space_group_name_H-M 'P 1'
_symmetry_Int_Tables_number 1
_cell_length_a 8.137
_cell_length_b 8.137
_cell_length_c 8.137
_cell_angle_alpha 55.10
_cell_angle_beta 55.10
_cell_angle_gamma 55.10
loop_
_symmetry_equiv_pos_as_xyz
'x,y,z'
loop_
_atom_site_label
_atom_site_fract_x
_atom_site_fract_y
_atom_site_fract_z
Cs1 0.000 0.000 0.000
Na1 0.273 0.273 0.273
Na2 0.800 0.800 0.800
V1 0.464 0.464 0.464
Br1 0.086 0.604 0.472
Br2 0.259 0.517 0.829
Br3 0.472 0.086 0.604
Br4 0.517 0.829 0.259
Br5 0.604 0.472 0.086
Br6 0.829 0.259 0.517


# Cs3NaV2Br9 | Alexandria | PBE | relaxed
# Energy relative to the elements, uncorrected (eV/atom): -1.315
# DOS(E_F) (states/eV/cell): 14.94
# SG: P-3m1 (164)
data_Cs3NaV2Br9
_symmetry_space_group_name_H-M 'P 1'
_symmetry_Int_Tables_number 1
_cell_length_a 7.721
_cell_length_b 7.721
_cell_length_c 9.547
_cell_angle_alpha 90.00
_cell_angle_beta 90.00
_cell_angle_gamma 120.00
loop_
_symmetry_equiv_pos_as_xyz
'x,y,z'
loop_
_atom_site_label
_atom_site_fract_x
_atom_site_fract_y
_atom_site_fract_z
Cs1 0.000 0.000 0.000
Cs2 0.333 0.667 0.663
Cs3 0.667 0.333 0.337
Na1 0.000 0.000 0.500
V1 0.333 0.667 0.163
V2 0.667 0.333 0.837
Br1 0.000 0.500 0.000
Br2 0.176 0.353 0.315
Br3 0.176 0.824 0.315
Br4 0.353 0.176 0.685
Br5 0.500 0.000 0.000
Br6 0.500 0.500 0.000
Br7 0.647 0.824 0.315
Br8 0.824 0.176 0.685
Br9 0.824 0.647 0.685


# CsNa2WBr8 | Alexandria | PBE | relaxed
# Energy relative to the elements, uncorrected (eV/atom): -1.002
# DOS(E_F) (states/eV/cell): 6.17
# SG: P-1 (2)
data_CsNa2WBr8
_symmetry_space_group_name_H-M 'P 1'
_symmetry_Int_Tables_number 1
_cell_length_a 6.190
_cell_length_b 8.158
_cell_length_c 10.521
_cell_angle_alpha 68.45
_cell_angle_beta 78.90
_cell_angle_gamma 88.99
loop_
_symmetry_equiv_pos_as_xyz
'x,y,z'
loop_
_atom_site_label
_atom_site_fract_x
_atom_site_fract_y
_atom_site_fract_z
Cs1 0.000 0.000 0.000
Na1 0.414 0.471 0.186
Na2 0.586 0.529 0.814
W1 0.000 0.500 0.500
Br1 0.122 0.500 0.718
Br2 0.249 0.256 0.491
Br3 0.298 0.727 0.349
Br4 0.480 0.223 0.058
Br5 0.520 0.777 0.942
Br6 0.702 0.273 0.651
Br7 0.751 0.744 0.509
Br8 0.878 0.500 0.282


# Cs3Na2YBr8 | Alexandria | PBE | relaxed
# Energy relative to the elements, uncorrected (eV/atom): -1.716
# DOS(E_F) (states/eV/cell): 0.00
# SG: P-3m1 (164)
data_Cs3Na2YBr8
_symmetry_space_group_name_H-M 'P 1'
_symmetry_Int_Tables_number 1
_cell_length_a 8.021
_cell_length_b 8.021
_cell_length_c 10.757
_cell_angle_alpha 90.00
_cell_angle_beta 90.00
_cell_angle_gamma 120.00
loop_
_symmetry_equiv_pos_as_xyz
'x,y,z'
loop_
_atom_site_label
_atom_site_fract_x
_atom_site_fract_y
_atom_site_fract_z
Cs1 0.000 0.000 0.000
Cs2 0.333 0.667 0.624
Cs3 0.667 0.333 0.376
Na1 0.333 0.667 0.190
Na2 0.667 0.333 0.810
Y1 0.000 0.000 0.500
Br1 0.162 0.324 0.344
Br2 0.162 0.838 0.344
Br3 0.324 0.162 0.656
Br4 0.333 0.667 0.941
Br5 0.667 0.333 0.059
Br6 0.676 0.838 0.344
Br7 0.838 0.162 0.656
Br8 0.838 0.676 0.656


# Cs3Na2YBr9 | Alexandria | PBE | relaxed
# Energy relative to the elements, uncorrected (eV/atom): -1.615
# DOS(E_F) (states/eV/cell): 14.76
# SG: P-3m1 (164)
data_Cs3Na2YBr9
_symmetry_space_group_name_H-M 'P 1'
_symmetry_Int_Tables_number 1
_cell_length_a 8.030
_cell_length_b 8.030
_cell_length_c 10.280
_cell_angle_alpha 90.00
_cell_angle_beta 90.00
_cell_angle_gamma 120.00
loop_
_symmetry_equiv_pos_as_xyz
'x,y,z'
loop_
_atom_site_label
_atom_site_fract_x
_atom_site_fract_y
_atom_site_fract_z
Cs1 0.000 0.000 0.000
Cs2 0.333 0.667 0.675
Cs3 0.667 0.333 0.325
Na1 0.333 0.667 0.171
Na2 0.667 0.333 0.829
Y1 0.000 0.000 0.500
Br1 0.000 0.500 0.000
Br2 0.164 0.327 0.342
Br3 0.164 0.836 0.342
Br4 0.327 0.164 0.658
Br5 0.500 0.000 0.000
Br6 0.500 0.500 0.000
Br7 0.673 0.836 0.342
Br8 0.836 0.164 0.658
Br9 0.836 0.673 0.658


# Cs2NaZnBr4 | Alexandria | PBE | relaxed
# Energy relative to the elements, uncorrected (eV/atom): -1.235
# DOS(E_F) (states/eV/cell): 5.87
# SG: Fddd (70)
data_Cs2NaZnBr4
_symmetry_space_group_name_H-M 'P 1'
_symmetry_Int_Tables_number 1
_cell_length_a 15.464
_cell_length_b 13.696
_cell_length_c 8.456
_cell_angle_alpha 85.06
_cell_angle_beta 61.93
_cell_angle_gamma 33.01
loop_
_symmetry_equiv_pos_as_xyz
'x,y,z'
loop_
_atom_site_label
_atom_site_fract_x
_atom_site_fract_y
_atom_site_fract_z
Cs1 0.054 0.054 0.696
Cs2 0.304 0.304 0.946
Cs3 0.696 0.696 0.054
Cs4 0.946 0.946 0.304
Na1 0.125 0.125 0.125
Na2 0.875 0.875 0.875
Zn1 0.375 0.375 0.375
Zn2 0.625 0.625 0.625
Br1 0.046 0.315 0.430
Br2 0.291 0.570 0.685
Br3 0.315 0.046 0.709
Br4 0.430 0.709 0.046
Br5 0.570 0.291 0.954
Br6 0.685 0.954 0.291
Br7 0.709 0.430 0.315
Br8 0.954 0.685 0.570


# CsNaZnBr4 | Alexandria | PBE | relaxed
# Energy relative to the elements, uncorrected (eV/atom): -1.360
# DOS(E_F) (states/eV/cell): 0.00
# SG: P2_1/m (11)
data_CsNaZnBr4
_symmetry_space_group_name_H-M 'P 1'
_symmetry_Int_Tables_number 1
_cell_length_a 7.122
_cell_length_b 7.698
_cell_length_c 9.722
_cell_angle_alpha 90.00
_cell_angle_beta 108.20
_cell_angle_gamma 90.00
loop_
_symmetry_equiv_pos_as_xyz
'x,y,z'
loop_
_atom_site_label
_atom_site_fract_x
_atom_site_fract_y
_atom_site_fract_z
Cs1 0.249 0.250 0.436
Cs2 0.751 0.750 0.564
Na1 0.289 0.250 0.952
Na2 0.711 0.750 0.048
Zn1 0.283 0.750 0.174
Zn2 0.717 0.250 0.826
Br1 0.046 0.750 0.936
Br2 0.116 0.750 0.358
Br3 0.489 0.002 0.789
Br4 0.489 0.498 0.789
Br5 0.511 0.502 0.211
Br6 0.511 0.998 0.211
Br7 0.884 0.250 0.642
Br8 0.954 0.250 0.064


# Cs2NaZrBr6 | Alexandria | PBE | relaxed
# Energy relative to the elements, uncorrected (eV/atom): -1.565
# DOS(E_F) (states/eV/cell): 10.58
# SG: R-3m (166)
data_Cs2NaZrBr6
_symmetry_space_group_name_H-M 'P 1'
_symmetry_Int_Tables_number 1
_cell_length_a 14.244
_cell_length_b 14.244
_cell_length_c 14.244
_cell_angle_alpha 32.54
_cell_angle_beta 32.54
_cell_angle_gamma 32.54
loop_
_symmetry_equiv_pos_as_xyz
'x,y,z'
loop_
_atom_site_label
_atom_site_fract_x
_atom_site_fract_y
_atom_site_fract_z
Cs1 0.126 0.126 0.126
Cs2 0.294 0.294 0.294
Cs3 0.706 0.706 0.706
Cs4 0.874 0.874 0.874
Na1 0.414 0.414 0.414
Na2 0.586 0.586 0.586
Zr1 0.000 0.000 0.000
Zr2 0.500 0.500 0.500
Br1 0.137 0.624 0.624
Br2 0.199 0.199 0.719
Br3 0.199 0.719 0.199
Br4 0.281 0.801 0.801
Br5 0.376 0.376 0.863
Br6 0.376 0.863 0.376
Br7 0.624 0.137 0.624
Br8 0.624 0.624 0.137
Br9 0.719 0.199 0.199
Br10 0.801 0.281 0.801
Br11 0.801 0.801 0.281
Br12 0.863 0.376 0.376